(1)
First-principles (PBE) data for an optimized crystal structure of ErSiHO4, as listed in OQMD.

Unit cell a=9.1774 b=9.1774 c=9.1774 alpha=112.59 beta=112.59 gamma=112.59
Positions (direct):
Er (0.5914, 0.8564, 0.0657)
Er (0.9343, 0.4086, 0.1436)
Er (0.1436, 0.9343, 0.4086)
Er (0.8564, 0.0657, 0.5914)
Er (0.0657, 0.5914, 0.8564)
Er (0.4086, 0.1436, 0.9343)
H (0.3230, 0.4274, 0.1626)
H (0.4274, 0.1626, 0.3230)
H (0.1626, 0.3230, 0.4274)
H (0.8374, 0.6770, 0.5726)
H (0.5726, 0.8374, 0.6770)
H (0.6770, 0.5726, 0.8374)
O (0.3781, 0.7224, 0.1063)
O (0.5087, 0.4461, 0.1482)
O (0.7038, 0.2077, 0.1558)
O (0.2281, 0.4563, 0.1655)
O (0.1558, 0.7038, 0.2077)
O (0.4563, 0.1655, 0.2281)
O (0.8937, 0.6219, 0.2776)
O (0.7923, 0.8442, 0.2962)
O (0.7224, 0.1063, 0.3781)
O (0.1482, 0.5087, 0.4461)
O (0.1655, 0.2281, 0.4563)
O (0.5539, 0.8518, 0.4913)
O (0.4461, 0.1482, 0.5087)
O (0.8345, 0.7719, 0.5437)
O (0.8518, 0.4913, 0.5539)
O (0.2776, 0.8937, 0.6219)
O (0.2077, 0.1558, 0.7038)
O (0.1063, 0.3781, 0.7224)
O (0.5437, 0.8345, 0.7719)
O (0.8442, 0.2962, 0.7923)
O (0.7719, 0.5437, 0.8345)
O (0.2962, 0.7923, 0.8442)
O (0.4913, 0.5539, 0.8518)
O (0.6219, 0.2776, 0.8937)
Si (0.3502, 0.7027, 0.2635)
Si (0.7365, 0.6498, 0.2973)
Si (0.7027, 0.2635, 0.3502)
Si (0.2973, 0.7365, 0.6498)
Si (0.2635, 0.3502, 0.7027)
Si (0.6498, 0.2973, 0.7365)

Summary:
calculated volume	12.3	Å³/atom
E_tot	-310.31	eV for the cell shown
size of the total moment	0.00	Bohr magnetons per cell
energy above the lowest structure with this stoichiometry	8.7	kJ per mole of atoms

---

(2)
First-principles (PBE) data for an optimized crystal structure of YErH2O4, as listed in OQMD.

Unit cell a=4.2854 b=3.5861 c=5.9093 alpha=90.00 beta=109.52 gamma=90.00
Positions (direct):
Er (0.1647, 0.0000, 0.8087)
H (0.5114, 0.0000, 0.4121)
H (0.4908, 0.5000, 0.5939)
O (0.2664, 0.5000, 0.0504)
O (0.7476, 0.0000, 0.4382)
O (0.2543, 0.5000, 0.5666)
O (0.7301, 0.0000, 0.9410)
Y (0.8347, 0.5000, 0.1890)

Summary:
calculated volume	10.7	Å³/atom
E_tot	-58.81	eV for the cell shown
size of the total moment	0.00	Bohr magnetons per cell

---

(3)
First-principles (PBE) data for an optimized crystal structure of ErScH4, as listed in OQMD.

Unit cell a=3.4779 b=3.4779 c=4.9088 alpha=90.00 beta=90.00 gamma=90.00
Positions (direct):
Er (0.0000, 0.0000, 0.0000)
H (0.5000, 0.0000, 0.2671)
H (0.0000, 0.5000, 0.2671)
H (0.5000, 0.0000, 0.7329)
H (0.0000, 0.5000, 0.7329)
Sc (0.5000, 0.5000, 0.5000)

Summary:
calculated volume	9.9	Å³/atom
E_tot	-28.44	eV for the cell shown
size of the total moment	0.00	Bohr magnetons per cell

---

(4)
First-principles (PBE) data for an optimized crystal structure of SmErH4, as listed in OQMD.

Unit cell a=3.6801 b=3.6801 c=5.2270 alpha=90.00 beta=90.00 gamma=90.00
Positions (direct):
Er (0.5000, 0.5000, 0.5000)
H (0.5000, 0.0000, 0.2643)
H (0.0000, 0.5000, 0.2643)
H (0.5000, 0.0000, 0.7357)
H (0.0000, 0.5000, 0.7357)
Sm (0.0000, 0.0000, 0.0000)

Summary:
calculated volume	11.8	Å³/atom
E_tot	-26.82	eV for the cell shown
size of the total moment	0.00	Bohr magnetons per cell

---

Q: Among the records above, which one has the highest calculated volume?
A: ErSiHO4

---

Repeat the second record exactly.
First-principles (PBE) data for an optimized crystal structure of YErH2O4, as listed in OQMD.

Unit cell a=4.2854 b=3.5861 c=5.9093 alpha=90.00 beta=109.52 gamma=90.00
Positions (direct):
Er (0.1647, 0.0000, 0.8087)
H (0.5114, 0.0000, 0.4121)
H (0.4908, 0.5000, 0.5939)
O (0.2664, 0.5000, 0.0504)
O (0.7476, 0.0000, 0.4382)
O (0.2543, 0.5000, 0.5666)
O (0.7301, 0.0000, 0.9410)
Y (0.8347, 0.5000, 0.1890)

Summary:
calculated volume	10.7	Å³/atom
E_tot	-58.81	eV for the cell shown
size of the total moment	0.00	Bohr magnetons per cell

---

Repeat the first record exactly.
First-principles (PBE) data for an optimized crystal structure of ErSiHO4, as listed in OQMD.

Unit cell a=9.1774 b=9.1774 c=9.1774 alpha=112.59 beta=112.59 gamma=112.59
Positions (direct):
Er (0.5914, 0.8564, 0.0657)
Er (0.9343, 0.4086, 0.1436)
Er (0.1436, 0.9343, 0.4086)
Er (0.8564, 0.0657, 0.5914)
Er (0.0657, 0.5914, 0.8564)
Er (0.4086, 0.1436, 0.9343)
H (0.3230, 0.4274, 0.1626)
H (0.4274, 0.1626, 0.3230)
H (0.1626, 0.3230, 0.4274)
H (0.8374, 0.6770, 0.5726)
H (0.5726, 0.8374, 0.6770)
H (0.6770, 0.5726, 0.8374)
O (0.3781, 0.7224, 0.1063)
O (0.5087, 0.4461, 0.1482)
O (0.7038, 0.2077, 0.1558)
O (0.2281, 0.4563, 0.1655)
O (0.1558, 0.7038, 0.2077)
O (0.4563, 0.1655, 0.2281)
O (0.8937, 0.6219, 0.2776)
O (0.7923, 0.8442, 0.2962)
O (0.7224, 0.1063, 0.3781)
O (0.1482, 0.5087, 0.4461)
O (0.1655, 0.2281, 0.4563)
O (0.5539, 0.8518, 0.4913)
O (0.4461, 0.1482, 0.5087)
O (0.8345, 0.7719, 0.5437)
O (0.8518, 0.4913, 0.5539)
O (0.2776, 0.8937, 0.6219)
O (0.2077, 0.1558, 0.7038)
O (0.1063, 0.3781, 0.7224)
O (0.5437, 0.8345, 0.7719)
O (0.8442, 0.2962, 0.7923)
O (0.7719, 0.5437, 0.8345)
O (0.2962, 0.7923, 0.8442)
O (0.4913, 0.5539, 0.8518)
O (0.6219, 0.2776, 0.8937)
Si (0.3502, 0.7027, 0.2635)
Si (0.7365, 0.6498, 0.2973)
Si (0.7027, 0.2635, 0.3502)
Si (0.2973, 0.7365, 0.6498)
Si (0.2635, 0.3502, 0.7027)
Si (0.6498, 0.2973, 0.7365)

Summary:
calculated volume	12.3	Å³/atom
E_tot	-310.31	eV for the cell shown
size of the total moment	0.00	Bohr magnetons per cell
energy above the lowest structure with this stoichiometry	8.7	kJ per mole of atoms